# 1
The following is a PBE-GGA calculation of Y2Zn5Pt4 after structural relaxation, from Alexandria.

Calculated values
Its total magnetization is 0.0 μB per formula unit. The density of states at the Fermi level is 5.13 states/eV/f.u. The total energy comes out at -51.435 eV/cell. Its energy relative to the elements is -16.72 kcal/mol of atoms.

Lattice parameters (Å, degrees): 5.310 5.297 8.728 81.23 72.29 59.91
Element x y z (fractional)
Y 0.855 0.000 0.289
Y 0.145 0.000 0.711
Zn 0.500 0.000 0.000
Zn 0.000 0.500 0.000
Zn 0.500 0.500 0.000
Zn 0.250 0.500 0.500
Zn 0.750 0.500 0.500
Pt 0.469 0.318 0.744
Pt 0.531 0.682 0.256
Pt 0.213 0.318 0.256
Pt 0.787 0.682 0.744


# 2
The following is a PBE-GGA calculation of BeZnTc2 after structural relaxation, from Alexandria.

Calculated values
Its total magnetization is 0.0 μB per formula unit. The density of states at the Fermi level is 2.53 states/eV/f.u. The total energy comes out at -25.143 eV/cell. For the energy above the lowest structure with this stoichiometry, the calculation gives 185 meV per atom. Its energy relative to the elements is 3.39 kcal/mol of atoms.

Lattice parameters (Å, degrees): 4.070 2.599 5.151 76.59 90.00 90.00
Element x y z (fractional)
Be 0.500 0.750 0.750
Zn 0.500 0.250 0.250
Tc 0.000 0.983 0.989
Tc 0.000 0.517 0.511


# 3
The following is a PBE-GGA calculation of AcSm2PaN4 after structural relaxation, from Alexandria.

Calculated values
Its total magnetization is 0.0 μB per formula unit. The density of states at the Fermi level is 3.29 states/eV/f.u. The total energy comes out at -67.605 eV/cell. Its formation energy from raw total energies is -135.81 kJ/mol of atoms.

Lattice parameters (Å, degrees): 3.634 6.407 6.232 109.36 90.00 90.00
Element x y z (fractional)
Ac 0.500 0.500 0.000
Sm 0.500 0.000 0.500
Sm 0.000 0.500 0.500
Pa 0.000 0.000 0.000
N 0.500 0.219 0.234
N 0.500 0.781 0.766
N 0.000 0.211 0.759
N 0.000 0.789 0.241


# 4
The following is a PBE-GGA calculation of CsCuOs2 after structural relaxation, from Alexandria.

Calculated values
Its total magnetization is 0.0 μB per formula unit. The density of states at the Fermi level is 5.47 states/eV/f.u. The total energy comes out at -18.237 eV/cell. For the energy above the lowest structure with this stoichiometry, the calculation gives 746 meV per atom. Its energy relative to the elements is 52.88 kcal/mol of atoms.

Lattice parameters (Å, degrees): 4.619 4.619 4.619 60.00 60.00 60.00
Element x y z (fractional)
Cs 0.500 0.500 0.500
Os 0.250 0.250 0.250
Os 0.750 0.750 0.750
Cu 0.000 0.000 0.000


# 5
The following is a PBE-GGA calculation of K2MnSnS4 after structural relaxation, from Alexandria.

Calculated values
Its total magnetization is 4.9 μB per formula unit. The density of states at the Fermi level is 2.98 states/eV/f.u. The total energy comes out at -75.216 eV/cell. Its formation energy from raw total energies is -69.12 kJ/mol of atoms.

Lattice parameters (Å, degrees): 8.064 8.064 8.223 120.62 120.62 89.06
Element x y z (fractional)
K 0.500 0.000 0.000
K 0.500 0.000 0.500
K 0.000 0.000 0.500
K 0.500 0.500 0.000
Mn 0.000 0.500 0.000
Mn 0.000 0.500 0.500
Sn 0.500 0.500 0.500
Sn 0.000 0.000 0.000
S 0.194 0.739 0.967
S 0.761 0.306 0.533
S 0.239 0.694 0.467
S 0.806 0.261 0.033
S 0.767 0.733 0.967
S 0.767 0.733 0.533
S 0.233 0.267 0.467
S 0.233 0.267 0.033


# 6
The following is a PBE-GGA calculation of Eu2CuSn after structural relaxation, from Alexandria.

Calculated values
Its total magnetization is 14.2 μB per formula unit. The density of states at the Fermi level is 14.09 states/eV/f.u. The total energy comes out at -30.177 eV/cell. Its energy relative to the elements is -8.82 kcal/mol of atoms.

Lattice parameters (Å, degrees): 3.658 3.658 8.102 90.00 90.00 90.00
Element x y z (fractional)
Eu 0.000 0.000 0.773
Eu 0.000 0.000 0.227
Sn 0.500 0.500 0.500
Cu 0.500 0.500 0.000


Copy entry 4 word for word.
The following is a PBE-GGA calculation of CsCuOs2 after structural relaxation, from Alexandria.

Calculated values
Its total magnetization is 0.0 μB per formula unit. The density of states at the Fermi level is 5.47 states/eV/f.u. The total energy comes out at -18.237 eV/cell. For the energy above the lowest structure with this stoichiometry, the calculation gives 746 meV per atom. Its energy relative to the elements is 52.88 kcal/mol of atoms.

Lattice parameters (Å, degrees): 4.619 4.619 4.619 60.00 60.00 60.00
Element x y z (fractional)
Cs 0.500 0.500 0.500
Os 0.250 0.250 0.250
Os 0.750 0.750 0.750
Cu 0.000 0.000 0.000


- total energy of number 1 (Y2Zn5Pt4)?
  -51.435 eV/cell


- Look up the total magnetization of the sixth one.
  14.2 μB per formula unit